Computed, not measured: a relaxed Tm4H2Pb crystal at the GGA-PBE level of DFT.

The total energy comes out at -4.359 eV/atom.

It has space group C2 (No. 5), with a = 12.4140 Å, b = 6.8151 Å, c = 9.4514 Å, α = 90.00°, β = 129.60° and γ = 90.00°. The distinct sites, in fractional coordinates, are Tm at (0.0358, 0.0000, 0.2155), Tm at (0.0933, 0.4830, 0.3983), Tm at (0.2090, 0.7515, 0.7554), Tm at (0.2401, 0.7544, 0.1294), H at (0.0696, 0.7240, 0.8180), H at (0.1071, 0.4763, 0.6496), Pb at (0.0000, 0.0818, 0.5000) and Pb at (0.0000, 0.4278, 0.0000).


Computed, not measured: a relaxed CaCdAu crystal at the GGA-PBE level of DFT.

The value obtained for the formation enthalpy at 0 K is -520 meV/atom.

It has space group F-43m (No. 216), with a = 6.8914 Å, b = 6.8914 Å, c = 6.8914 Å, α = 90.00°, β = 90.00° and γ = 90.00°. The distinct sites, in fractional coordinates, are Ca at (0.0000, 0.0000, 0.0000), Cd at (0.0000, 0.0000, 0.5000) and Au at (0.2500, 0.2500, 0.7500).


Computed, not measured: a relaxed Ba2MgH2O2 crystal at the GGA-PBE level of DFT.

The total energy comes out at -4.801 eV/atom.

It has space group I4/mmm (No. 139), with a = 4.0425 Å, b = 4.0425 Å, c = 13.5499 Å, α = 90.00°, β = 90.00° and γ = 90.00°. The distinct sites, in fractional coordinates, are Ba at (0.0000, 0.0000, 0.1495), Mg at (0.0000, 0.0000, 0.5000), H at (0.0000, 0.5000, 0.0000) and O at (0.0000, 0.0000, 0.3458).


Computed, not measured: a relaxed LiCeAlZn crystal at the GGA-PBE level of DFT.

The value obtained for the formation enthalpy at 0 K is -221 meV/atom.

It has space group F-43m (No. 216), with a = 6.7550 Å, b = 6.7550 Å, c = 6.7550 Å, α = 90.00°, β = 90.00° and γ = 90.00°. The distinct sites, in fractional coordinates, are Li at (0.0000, 0.0000, 0.0000), Ce at (0.2500, 0.2500, 0.2500), Al at (0.2500, 0.2500, 0.7500) and Zn at (0.0000, 0.0000, 0.5000).


Computed, not measured: a relaxed TlAg4As crystal at the GGA-PBE level of DFT.

The value obtained for the formation enthalpy at 0 K is 182 meV/atom.

It has space group F-43m (No. 216), with a = 7.9320 Å, b = 7.9320 Å, c = 7.9320 Å, α = 90.00°, β = 90.00° and γ = 90.00°. The distinct sites, in fractional coordinates, are Tl at (0.0000, 0.0000, 0.0000), Ag at (0.1248, 0.1248, 0.6248) and As at (0.2500, 0.2500, 0.2500).


Computed, not measured: a relaxed LaZr2Ni2 crystal at the GGA-PBE level of DFT.

For the relative energy among the computed polymorphs, the calculation gives 123 meV/atom. The value obtained for the formation enthalpy at 0 K is -109 meV/atom.

It has space group P4/mbm (No. 127), with a = 7.8623 Å, b = 7.8623 Å, c = 3.1272 Å, α = 90.00°, β = 90.00° and γ = 90.00°. The distinct sites, in fractional coordinates, are La at (0.0000, 0.0000, 0.0000), Zr at (0.1483, 0.3517, 0.0000) and Ni at (0.1366, 0.6366, 0.5000).


Computed, not measured: a relaxed ThMg2Pt2 crystal at the GGA-PBE level of DFT.

For the relative energy among the computed polymorphs, the calculation gives 0 meV/atom. The value obtained for the formation enthalpy at 0 K is -905 meV/atom.

It has space group I4/mmm (No. 139), with a = 3.9998 Å, b = 3.9998 Å, c = 13.0364 Å, α = 90.00°, β = 90.00° and γ = 90.00°. The distinct sites, in fractional coordinates, are Th at (0.0000, 0.0000, 0.0000), Mg at (0.0000, 0.5000, 0.2500) and Pt at (0.0000, 0.0000, 0.3947).


Computed, not measured: a relaxed ZnAgW2 crystal at the GGA-PBE level of DFT.

The value obtained for the formation enthalpy at 0 K is 476 meV/atom.

It has space group I4/mmm (No. 139), with a = 3.7926 Å, b = 3.7926 Å, c = 8.8230 Å, α = 90.00°, β = 90.00° and γ = 90.00°. The distinct sites, in fractional coordinates, are Zn at (0.0000, 0.0000, 0.0000), Ag at (0.0000, 0.0000, 0.5000) and W at (0.0000, 0.5000, 0.2500).


Please write out number 4 again, unchanged.
Computed, not measured: a relaxed LiCeAlZn crystal at the GGA-PBE level of DFT.

The value obtained for the formation enthalpy at 0 K is -221 meV/atom.

It has space group F-43m (No. 216), with a = 6.7550 Å, b = 6.7550 Å, c = 6.7550 Å, α = 90.00°, β = 90.00° and γ = 90.00°. The distinct sites, in fractional coordinates, are Li at (0.0000, 0.0000, 0.0000), Ce at (0.2500, 0.2500, 0.2500), Al at (0.2500, 0.2500, 0.7500) and Zn at (0.0000, 0.0000, 0.5000).